Record 1
Computed, not measured: an optimized crystal structure of Cs3Pa2PbO9 at the PBE level of DFT.

abc: 6.2940 6.2940 7.6909
angles: 90.00 90.00 120.00
Last column: nearest neighbours and their distance in Å.
Element x y z (fractional)
Cs  0.6667  0.3333  0.3363  12 O 3.13-3.16
Pb  0.0000  0.0000  0.5000  6 O 2.28
O  0.8295  0.1705  0.6720  1 Pa 2.15, 1 Pb 2.28
O  0.6589  0.8295  0.3280  1 Pa 2.15, 1 Pb 2.28
O  0.8295  0.6589  0.6720  1 Pa 2.15, 1 Pb 2.28
O  0.1705  0.3411  0.3280  1 Pa 2.15, 1 Pb 2.28
O  0.1705  0.8295  0.3280  1 Pa 2.15, 1 Pb 2.28
Pa  0.3333  0.6667  0.1696  6 O 2.15-2.24
Pa  0.6667  0.3333  0.8304  6 O 2.15-2.24
Cs  0.3333  0.6667  0.6637  12 O 3.13-3.16
O  0.3411  0.1705  0.6720  1 Pa 2.15, 1 Pb 2.28
Cs  0.0000  0.0000  0.0000  12 O 3.13-3.15
O  0.0000  0.5000  0.0000  2 Pa 2.24
O  0.5000  0.0000  0.0000  2 Pa 2.24
O  0.5000  0.5000  0.0000  2 Pa 2.24

Density of states at the Fermi level   1.119 states/eV per atom


Record 2
Computed, not measured: an optimized crystal structure of CsPa2Pb2O7 at the PBE level of DFT.

abc: 4.3196 4.6145 12.6480
angles: 100.54 99.83 90.00
Last column: nearest neighbours and their distance in Å.
Element x y z (fractional)
O  0.3234  0.3231  0.6469  1 Pa 2.10
O  0.0865  0.5867  0.1731  2 Pa 2.16
Pb  0.2977  0.7972  0.5954  3 O 2.39-2.43
O  0.6031  0.1033  0.2062  2 Pa 2.33, 1 Pb 2.43
O  0.9135  0.4133  0.8269  2 Pa 2.16
O  0.5000  0.5000  0.0000  2 Pa 2.23
O  0.3969  0.8967  0.7938  2 Pa 2.33, 1 Pb 2.43
O  0.6766  0.6769  0.3531  1 Pa 2.10
Pb  0.7023  0.2028  0.4046  3 O 2.39-2.43
Pa  0.5910  0.5912  0.1820  6 O 2.10-2.33
Pa  0.4090  0.4088  0.8180  6 O 2.10-2.33
Cs  0.0000  0.0000  0.0000  12 O 3.13-3.32

Density of states at the Fermi level   0.193 states/eV per atom


Record 3
Computed, not measured: an optimized crystal structure of Cs2PaPdO6 at the PBE level of DFT.

abc: 6.0487 6.0489 6.0507
angles: 119.99 119.99 90.00
Last column: nearest neighbours and their distance in Å.
Element x y z (fractional)
O  0.7560  0.2560  0.5120  1 Pd 2.09, 1 Pa 2.19
Pd  0.0000  0.5000  0.0000  6 O 2.09
O  0.7556  0.2556  0.0000  1 Pd 2.09, 1 Pa 2.19
Cs  0.2500  0.2500  0.5000  12 O 3.02-3.03
Pa  0.5000  0.0000  0.0000  6 O 2.19
O  0.2444  0.7444  0.0000  1 Pd 2.09, 1 Pa 2.19
O  0.2440  0.7440  0.4880  1 Pd 2.09, 1 Pa 2.19
O  0.7556  0.7444  0.0000  1 Pd 2.09, 1 Pa 2.19
O  0.2444  0.2556  0.0000  1 Pd 2.09, 1 Pa 2.19
Cs  0.7500  0.7500  0.5000  12 O 3.02-3.03

Density of states at the Fermi level   1.096 states/eV per atom


Record 4
Computed, not measured: an optimized crystal structure of Cs2PaPdO4 at the PBE level of DFT.

abc: 6.2305 6.2305 6.2305
angles: 100.54 114.11 114.11
Last column: nearest neighbours and their distance in Å.
Element x y z (fractional)
Cs  0.5000  0.7500  0.2500  8 O 3.14-3.49
O  0.8277  0.5349  0.1176  1 Pa 2.07, 1 Pd 2.27
Cs  0.0000  0.0000  0.0000  4 O 2.99
O  0.1723  0.2899  0.7073  1 Pa 2.07, 1 Pd 2.27
O  0.5826  0.2927  0.4651  1 Pa 2.07, 1 Pd 2.27
O  0.4174  0.8824  0.7101  1 Pa 2.07, 1 Pd 2.27
Pd  0.0000  0.5000  0.5000  4 O 2.27
Pa  0.5000  0.2500  0.7500  4 O 2.07


Electronic total energy
In order: -6.973, -7.650, -6.318, -6.365
Unit: eV/atom
Total magnetic moment
In order: 0.38, 0.42, 0.98, 0.99
Unit: μB/f.u.